DFT (PBE-GGA) results for an optimized crystal structure of Tm2MgAu3.

Lattice parameters (Å, degrees): 3.487 3.487 10.421 90.00 90.00 90.00
Sites, in units of the cell vectors:
1 Tm 0.000 0.000 0.175
2 Tm 0.000 0.000 0.825
3 Mg 0.000 0.000 0.500
4 Au 0.500 0.500 0.000
5 Au 0.500 0.500 0.342
6 Au 0.500 0.500 0.658

M_tot (μB per formula unit): 0.00
DFT total energy (eV/cell): -25.16
E_form (eV per atom): -0.799
D(E_F) (states/eV per atom): 0.42
Energy above the most stable polymorph in this dataset (meV/atom): 20.8